GaReSn2O, optimized geometry, DFT PBE; DOS(E_F) = 2.23 states/eV per cell; symmetry = P4/mmm, No. 123; E = -29.0 eV per cell
1.0
5.412 0.000 0.000
0.000 3.749 0.000
0.000 0.000 5.412
Sn Re Ga O
2 1 1 1
direct
0.500 0.000 0.000
0.000 0.000 0.500
0.000 0.000 0.000
0.500 0.500 0.500
0.000 0.500 0.000



TbGa2ReO8, optimized geometry, DFT PBE; DOS(E_F) = 0.13 states/eV per cell; symmetry = P-1, No. 2; E = -86.3 eV per cell
1.0
4.748 0.010 -0.001
0.036 4.742 -0.003
0.007 0.010 6.357
O Ga Tb Re
8 2 1 1
direct
0.802 0.199 0.210
0.198 0.801 0.210
0.802 0.199 0.790
0.709 0.710 0.000
0.198 0.801 0.790
0.291 0.290 0.000
0.678 0.681 0.500
0.322 0.319 0.500
0.500 0.500 0.259
0.500 0.500 0.741
0.000 0.000 0.500
0.000 0.000 0.000



GaRhO3, optimized geometry, DFT PBE; symmetry = P2_1/m, No. 11; E = -61.9 eV per cell
1.0
-0.089 -2.644 -1.867
5.125 0.231 -0.572
-0.820 -4.315 6.150
O Rh Ga
6 2 2
direct
0.750 0.721 0.591
0.750 0.142 0.117
0.250 0.279 0.409
0.250 0.653 0.229
0.750 0.347 0.771
0.250 0.858 0.883
0.250 0.520 0.673
0.750 0.480 0.327
0.250 0.979 0.179
0.750 0.021 0.821



GaRh3O, optimized geometry, DFT PBE; DOS(E_F) = 6.44 states/eV per cell; symmetry = Pm-3m, No. 221; E = -29.9 eV per cell
1.0
4.109 0.000 0.000
0.000 4.109 0.000
0.000 0.000 4.109
Rh Ga O
3 1 1
direct
0.500 0.000 0.000
0.000 0.500 0.000
0.000 0.000 0.500
0.500 0.500 0.500
0.000 0.000 0.000



GaRh3O, optimized geometry, DFT PBE; DOS(E_F) = 4.82 states/eV per cell; symmetry = Pm-3m, No. 221; E = -23.1 eV per cell
1.0
4.596 0.000 0.000
0.000 4.596 0.000
0.000 0.000 4.596
Rh O Ga
3 1 1
direct
0.500 0.000 0.000
0.000 0.000 0.500
0.000 0.500 0.000
0.500 0.500 0.500
0.000 0.000 0.000



GaRh3O6, optimized geometry, DFT PBE; DOS(E_F) = 9.47 states/eV per cell; symmetry = Cmmm, No. 65; E = -63.7 eV per cell
1.0
-2.627 0.140 -1.694
2.632 -3.470 -4.368
-2.813 -3.698 4.057
O Rh Ga
6 3 1
direct
0.000 0.927 0.669
0.000 0.669 0.927
0.000 0.073 0.331
0.500 0.362 0.638
0.500 0.638 0.362
0.000 0.331 0.073
0.000 0.000 0.000
0.500 0.500 0.000
0.500 0.000 0.500
0.000 0.500 0.500



GaRhO3, optimized geometry, DFT PBE; DOS(E_F) = 2.79 states/eV per cell; symmetry = Pm-3m, No. 221; E = -26.8 eV per cell
1.0
3.799 0.000 0.000
0.000 3.799 0.000
0.000 0.000 3.799
O Rh Ga
3 1 1
direct
0.500 0.000 0.000
0.000 0.000 0.500
0.000 0.500 0.000
0.500 0.500 0.500
0.000 0.000 0.000



GaRhO3, optimized geometry, DFT PBE; symmetry = Cmc2_1, No. 36; E = -62.4 eV per cell
1.0
-1.375 -2.886 0.299
4.460 -2.017 1.043
-0.401 2.693 6.923
Rh O Ga
2 6 2
direct
0.826 0.511 0.653
0.174 0.011 0.347
0.933 0.791 0.866
0.612 0.822 0.224
0.716 0.249 0.433
0.284 0.749 0.567
0.067 0.291 0.134
0.388 0.322 0.776
0.598 0.459 0.197
0.402 0.959 0.803